1.
Material: SrIn2Co
Method: DFT, GGA-PBE
State: optimized geometry

Values from the calculation:
* DFT total energy: -3.37 eV per atom
* density of states at the Fermi level: 2.9 states/eV per cell
* volume: 90.6 Å³/f.u.

Cell and atoms, written as POSCAR:
```
SrIn2Co
1.0
4.419 -2.419 0.161
0.132 -4.947 0.957
1.233 -3.243 -3.657
Sr Co In
1 1 2
direct
0.500 0.500 0.500 Sr
0.000 0.000 0.000 Co
0.250 0.250 0.250 In
0.750 0.750 0.750 In
```

---

2.
Material: SrInCo2
Method: DFT, GGA-PBE
State: optimized geometry

Values from the calculation:
* DFT total energy: -4.31 eV per atom
* density of states at the Fermi level: 3.5 states/eV per cell
* volume: 82.9 Å³/f.u.

Cell and atoms, written as POSCAR:
```
SrInCo2
1.0
5.697 -0.007 -0.020
2.455 5.140 0.020
-3.473 -3.525 2.823
Co In Sr
2 1 1
direct
0.940 0.940 0.000 Co
0.788 0.288 0.500 Co
0.533 0.533 0.000 In
0.239 0.739 0.500 Sr
```

---

3.
Material: Sr2InCo
Method: DFT, GGA-PBE
State: optimized geometry

Values from the calculation:
* DFT total energy: -3.19 eV per atom
* density of states at the Fermi level: 4.7 states/eV per cell
* volume: 117.1 Å³/f.u.

Cell and atoms, written as POSCAR:
```
Sr2InCo
1.0
6.471 0.047 0.037
2.940 5.765 -0.037
-4.110 -3.871 3.163
Co In Sr
1 1 2
direct
0.466 0.466 0.000 Co
0.308 0.808 0.500 In
0.015 0.015 0.000 Sr
0.711 0.211 0.500 Sr
```

---

4.
Material: SrIn2Co
Method: DFT, GGA-PBE
State: optimized geometry

Values from the calculation:
* DFT total energy: -3.21 eV per atom
* density of states at the Fermi level: 4.8 states/eV per cell
* volume: 100.5 Å³/f.u.

Cell and atoms, written as POSCAR:
```
SrIn2Co
1.0
5.535 0.095 0.000
-2.164 5.095 0.000
0.000 0.000 3.540
Co In Sr
1 2 1
direct
0.000 0.500 0.500 Co
0.000 0.000 0.000 In
0.500 0.500 0.000 In
0.500 0.000 0.500 Sr
```

---

5.
Material: Sr2InCo
Method: DFT, GGA-PBE
State: optimized geometry

Values from the calculation:
* DFT total energy: -3.15 eV per atom
* density of states at the Fermi level: 7.2 states/eV per cell
* volume: 116.6 Å³/f.u.

Cell and atoms, written as POSCAR:
```
Sr2InCo
1.0
3.734 0.014 0.000
-0.015 3.734 0.000
0.000 0.000 8.367
Co In Sr
1 1 2
direct
0.500 0.500 0.250 Co
0.500 0.500 0.750 In
0.000 0.000 0.034 Sr
0.000 0.000 0.466 Sr
```

---

6.
Material: Sr2In2Co
Method: DFT, GGA-PBE
State: optimized geometry

Values from the calculation:
* DFT total energy: -3.12 eV per atom
* density of states at the Fermi level: 11.2 states/eV per cell
* volume: 142.4 Å³/f.u.

Cell and atoms, written as POSCAR:
```
Sr2In2Co
1.0
-1.398 0.266 -7.100
6.906 -1.652 -1.421
-1.253 -5.283 0.049
Sr Co In
4 2 4
direct
0.176 0.676 0.500 Sr
0.676 0.824 0.500 Sr
0.824 0.324 0.500 Sr
0.324 0.176 0.500 Sr
0.000 0.000 0.000 Co
0.500 0.500 0.000 Co
0.350 0.850 0.000 In
0.850 0.650 0.000 In
0.650 0.150 0.000 In
0.150 0.350 0.000 In
```

---

7.
Material: Sr2InCo
Method: DFT, GGA-PBE
State: optimized geometry

Values from the calculation:
* DFT total energy: -3.26 eV per atom
* density of states at the Fermi level: 5.1 states/eV per cell
* volume: 126.6 Å³/f.u.

Cell and atoms, written as POSCAR:
```
Sr2InCo
1.0
-2.627 -3.313 -1.516
3.802 -2.171 -1.843
2.685 -4.036 4.167
Co In Sr
1 1 2
direct
0.000 0.677 0.520 Co
0.500 0.571 0.734 In
0.000 0.983 0.909 Sr
0.500 0.269 0.337 Sr
```

---

8.
Material: SrInCo2
Method: DFT, GGA-PBE
State: optimized geometry

Values from the calculation:
* DFT total energy: -4.00 eV per atom
* density of states at the Fermi level: 5.1 states/eV per cell
* volume: 76.5 Å³/f.u.

Cell and atoms, written as POSCAR:
```
SrInCo2
1.0
-1.930 2.279 1.004
1.528 -1.076 5.378
4.163 2.137 3.151
Co In Sr
2 1 1
direct
0.000 0.000 0.000 Co
0.500 0.500 0.000 Co
0.500 0.500 0.500 In
0.000 0.000 0.500 Sr
```

---

9.
Material: Sr2InCo
Method: DFT, GGA-PBE
State: optimized geometry

Values from the calculation:
* DFT total energy: -3.18 eV per atom
* density of states at the Fermi level: 6.2 states/eV per cell
* volume: 146.0 Å³/f.u.

Cell and atoms, written as POSCAR:
```
Sr2InCo
1.0
-2.150 5.491 -9.055
7.910 -5.311 -5.098
1.250 -1.679 -7.762
Sr Co In
4 2 2
direct
0.455 0.125 0.250 Sr
0.295 0.625 0.250 Sr
0.375 0.545 0.750 Sr
0.875 0.705 0.750 Sr
0.500 0.500 0.000 Co
0.250 0.750 0.500 Co
0.000 0.000 0.000 In
0.750 0.250 0.500 In
```

---

10.
Material: SrInCo2
Method: DFT, GGA-PBE
State: optimized geometry

Values from the calculation:
* DFT total energy: -4.62 eV per atom
* density of states at the Fermi level: 2.9 states/eV per cell
* volume: 89.4 Å³/f.u.

Cell and atoms, written as POSCAR:
```
SrInCo2
1.0
6.338 -0.246 -0.151
5.105 3.764 -0.151
5.105 1.570 3.424
Co In Sr
2 1 1
direct
0.944 0.944 0.944 Co
0.275 0.275 0.275 Co
0.545 0.545 0.545 In
0.736 0.736 0.736 Sr
```

---

11.
Material: SrIn4Co
Method: DFT, GGA-PBE
State: optimized geometry

Values from the calculation:
* DFT total energy: -3.03 eV per atom
* density of states at the Fermi level: 5.1 states/eV per cell
* volume: 157.5 Å³/f.u.

Cell and atoms, written as POSCAR:
```
SrIn4Co
1.0
1.304 -5.503 -2.183
-3.761 -4.641 1.035
-3.280 -2.315 -4.542
Sr In Co
1 4 1
direct
0.750 0.750 0.750 Sr
0.876 0.375 0.375 In
0.375 0.375 0.876 In
0.375 0.876 0.375 In
0.375 0.375 0.375 In
0.000 0.000 0.000 Co
```

---

12.
Material: SrInCo2
Method: DFT, GGA-PBE
State: optimized geometry

Values from the calculation:
* DFT total energy: -4.46 eV per atom
* density of states at the Fermi level: 4.9 states/eV per cell
* volume: 84.3 Å³/f.u.

Cell and atoms, written as POSCAR:
```
SrInCo2
1.0
3.931 0.000 0.000
0.000 4.172 0.003
0.000 2.086 5.144
Co In Sr
2 1 1
direct
0.000 0.164 0.047 Co
0.500 0.064 0.247 Co
0.000 0.491 0.394 In
0.500 0.781 0.813 Sr
```

---

13.
Material: SrIn2Co
Method: DFT, GGA-PBE
State: optimized geometry

Values from the calculation:
* DFT total energy: -3.50 eV per atom
* density of states at the Fermi level: 2.8 states/eV per cell
* volume: 97.8 Å³/f.u.

Cell and atoms, written as POSCAR:
```
SrIn2Co
1.0
-5.555 -1.298 -2.029
-0.238 -2.248 -5.617
2.035 -0.763 5.651
Co In Sr
1 2 1
direct
0.250 0.750 0.500 Co
0.049 0.049 0.000 In
0.451 0.451 0.000 In
0.750 0.250 0.500 Sr
```

---

14.
Material: SrIn2Co
Method: DFT, GGA-PBE
State: optimized geometry

Values from the calculation:
* DFT total energy: -3.48 eV per atom
* density of states at the Fermi level: 2.9 states/eV per cell
* volume: 97.6 Å³/f.u.

Cell and atoms, written as POSCAR:
```
SrIn2Co
1.0
3.557 0.011 0.000
-0.011 3.557 0.000
0.000 0.000 7.718
Co In Sr
1 2 1
direct
0.500 0.500 0.827 Co
0.000 0.000 0.943 In
0.500 0.500 0.201 In
0.000 0.000 0.529 Sr
```

---

15.
Material: SrInCo2
Method: DFT, GGA-PBE
State: optimized geometry

Values from the calculation:
* DFT total energy: -4.45 eV per atom
* density of states at the Fermi level: 3.3 states/eV per cell
* volume: 79.0 Å³/f.u.

Cell and atoms, written as POSCAR:
```
SrInCo2
1.0
3.221 0.000 0.000
0.000 3.221 0.000
0.000 0.000 7.616
Co In Sr
2 1 1
direct
0.000 0.000 0.083 Co
0.500 0.500 0.199 Co
0.000 0.000 0.434 In
0.500 0.500 0.784 Sr
```

---

16.
Material: Sr2InCo
Method: DFT, GGA-PBE
State: optimized geometry

Values from the calculation:
* DFT total energy: -3.01 eV per atom
* density of states at the Fermi level: 5.1 states/eV per cell
* volume: 105.9 Å³/f.u.

Cell and atoms, written as POSCAR:
```
Sr2InCo
1.0
-3.206 4.181 0.669
-3.775 -0.119 3.733
0.458 3.030 4.337
Co In Sr
1 1 2
direct
0.500 0.500 0.500 Co
0.750 0.750 0.750 In
0.000 0.000 0.000 Sr
0.250 0.250 0.250 Sr
```

---

17.
Material: SrIn2Co
Method: DFT, GGA-PBE
State: optimized geometry

Values from the calculation:
* DFT total energy: -3.60 eV per atom
* density of states at the Fermi level: 2.7 states/eV per cell
* volume: 90.8 Å³/f.u.

Cell and atoms, written as POSCAR:
```
SrIn2Co
1.0
3.365 0.000 0.000
0.000 3.365 0.000
0.000 0.000 8.021
Co In Sr
1 2 1
direct
0.500 0.500 0.750 Co
0.000 0.000 0.935 In
0.000 0.000 0.565 In
0.500 0.500 0.250 Sr
```

---

18.
Material: SrIn2Co
Method: DFT, GGA-PBE
State: optimized geometry

Values from the calculation:
* DFT total energy: -3.44 eV per atom
* density of states at the Fermi level: 2.9 states/eV per cell
* volume: 104.4 Å³/f.u.

Cell and atoms, written as POSCAR:
```
SrIn2Co
1.0
4.484 0.000 0.000
0.000 3.923 0.027
0.000 1.922 5.945
Co In Sr
1 2 1
direct
0.500 0.916 0.794 Co
0.000 0.814 0.997 In
0.500 0.232 0.162 In
0.000 0.539 0.548 Sr
```

---

19.
Material: Sr2InCo
Method: DFT, GGA-PBE
State: optimized geometry

Values from the calculation:
* DFT total energy: -3.01 eV per atom
* density of states at the Fermi level: 3.9 states/eV per cell
* volume: 129.2 Å³/f.u.

Cell and atoms, written as POSCAR:
```
Sr2InCo
1.0
9.610 -0.034 -0.020
8.792 3.881 -0.020
8.792 1.838 3.418
Co In Sr
1 1 2
direct
0.250 0.250 0.250 Co
0.750 0.750 0.750 In
0.986 0.986 0.986 Sr
0.514 0.514 0.514 Sr
```

---

20.
Material: Sr2InCo
Method: DFT, GGA-PBE
State: optimized geometry

Values from the calculation:
* DFT total energy: -3.30 eV per atom
* density of states at the Fermi level: 4.1 states/eV per cell
* volume: 140.1 Å³/f.u.

Cell and atoms, written as POSCAR:
```
Sr2InCo
1.0
-8.183 0.577 1.816
-6.784 -3.237 3.753
-6.056 0.715 5.780
Co In Sr
1 1 2
direct
0.458 0.458 0.458 Co
0.792 0.792 0.792 In
0.037 0.037 0.037 Sr
0.213 0.213 0.213 Sr
```

---

21.
Material: SrIn2Co
Method: DFT, GGA-PBE
State: optimized geometry

Values from the calculation:
* DFT total energy: -3.63 eV per atom
* density of states at the Fermi level: 1.6 states/eV per cell
* volume: 102.6 Å³/f.u.

Cell and atoms, written as POSCAR:
```
SrIn2Co
1.0
4.487 -0.013 0.019
2.255 3.880 0.019
2.220 1.273 5.894
Co In Sr
1 2 1
direct
0.250 0.250 0.250 Co
0.958 0.958 0.127 In
0.542 0.542 0.373 In
0.750 0.750 0.750 Sr
```

---

22.
Material: SrInCo2
Method: DFT, GGA-PBE
State: optimized geometry

Values from the calculation:
* DFT total energy: -4.59 eV per atom
* density of states at the Fermi level: 1.9 states/eV per cell
* volume: 92.3 Å³/f.u.

Cell and atoms, written as POSCAR:
```
SrInCo2
1.0
-0.614 4.382 0.342
-2.244 1.661 3.450
3.650 2.464 4.071
Co In Sr
2 1 1
direct
0.929 0.929 0.214 Co
0.571 0.571 0.286 Co
0.250 0.250 0.250 In
0.750 0.750 0.750 Sr
```

---

23.
Material: SrInCo2
Method: DFT, GGA-PBE
State: optimized geometry

Values from the calculation:
* DFT total energy: -4.28 eV per atom
* density of states at the Fermi level: 8.1 states/eV per cell
* volume: 99.6 Å³/f.u.

Cell and atoms, written as POSCAR:
```
SrInCo2
1.0
4.697 0.000 0.000
0.000 4.697 0.000
2.349 2.349 9.028
Sr Co In
2 4 2
direct
0.500 0.500 0.000 Sr
0.250 0.750 0.500 Sr
0.875 0.125 0.250 Co
0.875 0.625 0.250 Co
0.375 0.125 0.750 Co
0.875 0.125 0.750 Co
0.000 0.000 0.000 In
0.750 0.250 0.500 In
```

---

24.
Material: SrIn2Co
Method: DFT, GGA-PBE
State: optimized geometry

Values from the calculation:
* DFT total energy: -3.39 eV per atom
* density of states at the Fermi level: 4.8 states/eV per cell
* volume: 108.0 Å³/f.u.

Cell and atoms, written as POSCAR:
```
SrIn2Co
1.0
-5.063 -1.695 0.659
1.712 -4.713 1.949
1.219 4.815 2.067
Co In Sr
1 2 1
direct
0.137 0.637 0.500 Co
0.055 0.055 0.000 In
0.796 0.296 0.500 In
0.512 0.512 0.000 Sr
```

---

25.
Material: SrInCo2
Method: DFT, GGA-PBE
State: optimized geometry

Values from the calculation:
* DFT total energy: -4.31 eV per atom
* density of states at the Fermi level: 4.8 states/eV per cell
* volume: 81.8 Å³/f.u.

Cell and atoms, written as POSCAR:
```
SrInCo2
1.0
3.475 0.000 0.000
0.000 3.506 0.000
0.000 0.000 6.716
Co In Sr
2 1 1
direct
0.000 0.000 0.078 Co
0.000 0.000 0.422 Co
0.500 0.500 0.250 In
0.500 0.500 0.750 Sr
```

---

26.
Material: SrIn2Co
Method: DFT, GGA-PBE
State: optimized geometry

Values from the calculation:
* DFT total energy: -3.38 eV per atom
* density of states at the Fermi level: 6.5 states/eV per cell
* volume: 127.9 Å³/f.u.

Cell and atoms, written as POSCAR:
```
SrIn2Co
1.0
-4.782 -2.118 2.066
2.873 -2.388 4.203
-1.970 4.406 7.612
Sr Co In
2 2 4
direct
0.000 0.000 0.000 Sr
0.750 0.250 0.500 Sr
0.500 0.500 0.000 Co
0.250 0.750 0.500 Co
0.423 0.125 0.250 In
0.327 0.625 0.250 In
0.375 0.577 0.750 In
0.875 0.673 0.750 In
```

---

27.
Material: SrIn2Co
Method: DFT, GGA-PBE
State: optimized geometry

Values from the calculation:
* DFT total energy: -3.35 eV per atom
* density of states at the Fermi level: 4.9 states/eV per cell
* volume: 98.0 Å³/f.u.

Cell and atoms, written as POSCAR:
```
SrIn2Co
1.0
4.434 0.000 0.000
0.000 4.502 0.000
0.000 0.000 4.911
Co In Sr
1 2 1
direct
0.000 0.500 0.500 Co
0.000 0.000 0.000 In
0.500 0.500 0.000 In
0.500 0.000 0.500 Sr
```

---

28.
Material: SrIn2CoTc
Method: DFT, GGA-PBE
State: optimized geometry

Values from the calculation:
* DFT total energy: -3.99 eV per atom
* density of states at the Fermi level: 5.3 states/eV per cell
* volume: 147.3 Å³/f.u.

Cell and atoms, written as POSCAR:
```
SrIn2CoTc
1.0
-0.034 3.907 -3.453
-3.600 2.665 3.051
3.897 2.313 2.578
Sr Co Tc In
1 1 1 2
direct
0.000 0.500 0.000 Sr
0.500 0.500 0.500 Co
0.000 0.000 0.000 Tc
0.000 0.000 0.500 In
0.500 0.000 0.000 In
```

---

29.
Material: SrTlIn2Co
Method: DFT, GGA-PBE
State: optimized geometry

Values from the calculation:
* DFT total energy: -3.45 eV per atom
* density of states at the Fermi level: 4.4 states/eV per cell
* volume: 129.3 Å³/f.u.

Cell and atoms, written as POSCAR:
```
SrTlIn2Co
1.0
-4.887 -1.103 -0.390
0.285 -2.748 4.197
-1.156 4.136 2.787
Sr Tl Co In
1 1 1 2
direct
0.500 0.500 0.500 Sr
0.000 0.000 0.500 Tl
0.000 0.000 0.000 Co
0.000 0.500 0.000 In
0.500 0.000 0.000 In
```